YHoTh2P4 | the Alexandria database | GGA-PBE | optimized geometry; DFT total energy = -60.223 eV/cell; calculated density = 7.31 Mg/m³; space-group type = P2/m; E_form = -1.59 eV per atom; spin magnetization = 0.0 μB/cell
1.0
7.0180 0.0000 0.0000
0.0000 4.0861 0.0000
-2.3870 0.0000 6.6644
Y Ho Th P
1 1 2 4
direct
0.0000 0.0000 0.0000 Y
0.0000 0.5000 0.5000 Ho
0.5000 0.0000 0.5000 Th
0.5000 0.5000 0.0000 Th
0.2422 0.0000 0.7465 P
0.2428 0.5000 0.2483 P
0.7572 0.5000 0.7517 P
0.7578 0.0000 0.2535 P


Sr2UNi3H12 | the Alexandria database | GGA-PBE | optimized geometry; DFT total energy = -76.391 eV/cell; calculated density = 5.68 Mg/m³; space-group type = R-3m; spin magnetization = 3.1 μB/cell
1.0
3.2694 1.8876 4.7507
-3.2694 1.8876 4.7507
0.0000 -3.7752 4.7507
Sr U Ni H
2 1 3 12
direct
0.1144 0.1144 0.1144 Sr
0.8856 0.8856 0.8856 Sr
0.5000 0.5000 0.5000 U
0.0000 0.5000 0.5000 Ni
0.5000 0.0000 0.5000 Ni
0.5000 0.5000 0.0000 Ni
0.0821 0.6279 0.6279 H
0.2374 0.2374 0.5962 H
0.2374 0.5962 0.2374 H
0.3721 0.3721 0.9179 H
0.3721 0.9179 0.3721 H
0.4038 0.7626 0.7626 H
0.5962 0.2374 0.2374 H
0.6279 0.0821 0.6279 H
0.6279 0.6279 0.0821 H
0.7626 0.4038 0.7626 H
0.7626 0.7626 0.4038 H
0.9179 0.3721 0.3721 H


Na3MgBi | the Alexandria database | GGA-PBE | optimized geometry; DFT total energy = -19.329 eV/cell; calculated density = 3.02 Mg/m³; excess energy over the best structure of this formula in the dataset = 0.00 eV per formula unit; space-group type = Ima2; E_form = -0.05 eV per atom; spin magnetization = 0.0 μB/cell
1.0
-5.8428 4.1695 3.4133
5.8428 -4.1695 3.4133
5.8428 4.1695 -3.4133
Na Mg Bi
6 2 2
direct
0.1857 0.0098 0.6759 Na
0.2432 0.0277 0.2709 Na
0.2432 0.4723 0.7155 Na
0.3340 0.5098 0.3241 Na
0.7568 0.5277 0.2845 Na
0.7568 0.9723 0.7291 Na
0.2600 0.7608 0.9992 Mg
0.7616 0.2608 0.0008 Mg
0.7173 0.5081 0.7093 Bi
0.7988 0.0081 0.2907 Bi


FeTeBr2 | the Alexandria database | GGA-PBE | optimized geometry; energy relative to the elements, uncorrected = 0.0729 eV/atom; DFT total energy = -14.658 eV/cell; calculated density = 4.69 Mg/m³; space-group type = Cmm2; spin magnetization = 3.1 μB/cell
1.0
1.7801 -3.6654 0.0000
1.7801 3.6654 0.0000
0.0000 0.0000 9.3039
Fe Te Br
1 1 2
direct
0.0000 0.0000 0.0000 Fe
0.5000 0.5000 0.7999 Te
0.0000 0.0000 0.5470 Br
0.5000 0.5000 0.1810 Br


What did the second record say?
Sr2UNi3H12 | the Alexandria database | GGA-PBE | optimized geometry; DFT total energy = -76.391 eV/cell; calculated density = 5.68 Mg/m³; space-group type = R-3m; spin magnetization = 3.1 μB/cell
1.0
3.2694 1.8876 4.7507
-3.2694 1.8876 4.7507
0.0000 -3.7752 4.7507
Sr U Ni H
2 1 3 12
direct
0.1144 0.1144 0.1144 Sr
0.8856 0.8856 0.8856 Sr
0.5000 0.5000 0.5000 U
0.0000 0.5000 0.5000 Ni
0.5000 0.0000 0.5000 Ni
0.5000 0.5000 0.0000 Ni
0.0821 0.6279 0.6279 H
0.2374 0.2374 0.5962 H
0.2374 0.5962 0.2374 H
0.3721 0.3721 0.9179 H
0.3721 0.9179 0.3721 H
0.4038 0.7626 0.7626 H
0.5962 0.2374 0.2374 H
0.6279 0.0821 0.6279 H
0.6279 0.6279 0.0821 H
0.7626 0.4038 0.7626 H
0.7626 0.7626 0.4038 H
0.9179 0.3721 0.3721 H